Record 1
ZrRe2Os: relaxed, PBE-GGA.

Summary:
* E_form: 0.06 eV/atom
* N(E_F): 7.4 states/eV/cell

```
ZrRe2Os
1.0
9.818 0.000 0.000
0.000 2.899 0.000
-1.020 0.000 4.634
Zr Re Os
2 4 2
direct
0.000 0.000 0.000 Zr
0.500 0.500 0.000 Zr
0.229 0.000 0.723 Re
0.271 0.500 0.277 Re
0.729 0.500 0.723 Re
0.771 0.000 0.277 Re
0.000 0.500 0.500 Os
0.500 0.000 0.500 Os
```

***

Record 2
ZrReOs2: relaxed, PBE-GGA.

Summary:
* E_form: 0.05 eV/atom
* N(E_F): 7.2 states/eV/cell

```
ZrReOs2
1.0
9.635 0.000 0.000
0.000 2.905 0.000
-0.937 0.000 4.677
Zr Re Os
2 2 4
direct
0.000 0.000 0.000 Zr
0.500 0.500 0.000 Zr
0.227 0.000 0.694 Re
0.727 0.500 0.694 Re
0.264 0.500 0.245 Os
0.493 0.000 0.501 Os
0.764 0.000 0.245 Os
0.993 0.500 0.501 Os
```

***

Record 3
ZrReOs2: relaxed, PBE-GGA.

Summary:
* E_form: 0.04 eV/atom
* N(E_F): 5.6 states/eV/cell

```
ZrReOs2
1.0
2.855 0.000 0.000
0.000 3.877 0.000
0.000 0.000 5.885
Zr Re Os
1 1 2
direct
0.000 0.000 0.000 Zr
0.000 0.000 0.500 Re
0.500 0.500 0.278 Os
0.500 0.500 0.722 Os
```

***

| no. | energy relative to the lowest polymorph listed for this composition (eV/f.u.) |
| --- | --- |
| 1 | 0.05 |
| 2 | 0.28 |
| 3 | 0.26 |